Material: Rb3Hg12Pd5
Method: DFT, PBE-GGA
State: optimized geometry

Unit cell a=17.9910 b=17.9910 c=17.9910 alpha=90.00 beta=90.00 gamma=90.00
Space group Ia-3d (No. 230)
One atom of each set of equivalent atoms:
Rb  0.0000  0.2500  0.1250 [24 per cell]
Hg  0.0527  0.1215  0.9269 [96 per cell]
Pd  0.0000  0.0000  0.0000 [16 per cell]
Pd  0.0000  0.2500  0.3750 [24 per cell]

Values from the calculation:
- magnetic moment (μB/cell) = 0.00
- DOS(E_F) (states/eV/atom) = 0.266
- energy relative to the elements (eV per atom) = -0.022